No. 1
A plane-wave DFT calculation with PBE was carried out for an optimized crystal structure of KZr2Co.

Cell lengths 2.8981, 5.6755, 6.2004 Å; angles 61.60, 90.00, 90.00 degrees
Site moments in Bohr magnetons follow the coordinates.
Atoms (fractional coordinates):
Co (0.5000, 0.5000, 0.5000)  1.61
K (0.0000, 0.0000, 0.5000)  -0.02
Zr (0.5000, 0.5000, 0.0000)  -0.06
Zr (0.0000, 0.0000, 0.0000)  -0.04

ΔE_f in eV/atom: 0.97
Magnetization in μB per cell: 1.3
Space group: P2/m, No. 10
DOS(E_F) in states/eV per cell: 4.80
ΔE to the lowest computed polymorph in meV/atom: 708

---

No. 2
A plane-wave DFT calculation with PBE was carried out for an optimized crystal structure of SmHo3Tl4.

Cell lengths 5.4032, 7.5294, 10.8102 Å; angles 90.00, 90.00, 90.00 degrees
Atoms (fractional coordinates):
Ho (0.4991, 0.0000, 0.7500)
Tl (0.9991, 0.2458, 0.7500)
Ho (0.5007, 0.5000, 0.2500)
Ho (0.0000, 0.0000, 0.5000)
Tl (0.5000, 0.7542, 0.5000)
Ho (0.4993, 0.5000, 0.7500)
Tl (0.5000, 0.7542, 0.0000)
Tl (0.0009, 0.2458, 0.2500)
Ho (0.5009, 0.0000, 0.2500)
Tl (0.9991, 0.7542, 0.7500)
Tl (0.5000, 0.2458, 0.0000)
Tl (0.5000, 0.2458, 0.5000)
Ho (0.0000, 0.0000, 0.0000)
Sm (0.0000, 0.5000, 0.5000)
Tl (0.0009, 0.7542, 0.2500)
Sm (0.0000, 0.5000, 0.0000)

ΔE_f in eV/atom: -0.34
Magnetization in μB per cell: 0.0
Space group: Pmma, No. 51
DOS(E_F) in states/eV per cell: 12.31
ΔE to the lowest computed polymorph in meV/atom: 0

---

No. 3
A plane-wave DFT calculation with PBE was carried out for an optimized crystal structure of LaFe5.

Cell lengths 5.0486, 5.0486, 5.0486 Å; angles 60.00, 60.00, 60.00 degrees
Site moments in Bohr magnetons follow the coordinates.
Atoms (fractional coordinates):
Fe (0.3761, 0.8716, 0.3761)  2.49
Fe (0.3761, 0.3761, 0.8716)  2.49
Fe (0.8716, 0.3761, 0.3761)  2.49
Fe (0.3761, 0.3761, 0.3761)  2.49
Fe (0.7500, 0.7500, 0.7500)  2.99
La (0.0000, 0.0000, 0.0000)  -0.18

ΔE_f in eV/atom: 0.19
Magnetization in μB per cell: 12.7
Space group: F-43m, No. 216
DOS(E_F) in states/eV per cell: 5.72

---

No. 4
A plane-wave DFT calculation with PBE was carried out for an optimized crystal structure of Ce2SmSn.

Cell lengths 4.5117, 4.4022, 11.5999 Å; angles 90.00, 99.77, 90.00 degrees
Atoms (fractional coordinates):
Sn (0.1776, 0.2500, 0.3276)
Sm (0.3018, 0.2500, 0.6100)
Ce (0.0006, 0.7500, 0.1150)
Sn (0.8224, 0.7500, 0.6724)
Ce (0.6058, 0.2500, 0.1144)
Ce (0.9994, 0.2500, 0.8850)
Ce (0.3942, 0.7500, 0.8856)
Sm (0.6982, 0.7500, 0.3900)

ΔE_f in eV/atom: -0.42
Magnetization in μB per cell: 0.0
Space group: P2_1/m, No. 11
DOS(E_F) in states/eV per cell: 15.60
ΔE to the lowest computed polymorph in meV/atom: 0

---

No. 5
A plane-wave DFT calculation with PBE was carried out for an optimized crystal structure of BaBePb3.

Cell lengths 6.4162, 6.4162, 6.4162 Å; angles 90.00, 90.00, 90.00 degrees
Atoms (fractional coordinates):
Ba (0.0000, 0.0000, 0.0000)
Pb (0.0000, 0.0000, 0.5000)
Pb (0.5000, 0.0000, 0.0000)
Pb (0.0000, 0.5000, 0.0000)
Be (0.5000, 0.5000, 0.5000)

ΔE_f in eV/atom: 1.43
Magnetization in μB per cell: 0.0
Space group: Pm-3m, No. 221
DOS(E_F) in states/eV per cell: 6.70
ΔE to the lowest computed polymorph in meV/atom: 1419

---

No. 6
A plane-wave DFT calculation with PBE was carried out for an optimized crystal structure of Cs2HoCd2S4.

Cell lengths 4.0567, 8.5628, 8.5706 Å; angles 112.25, 103.69, 90.00 degrees
Atoms (fractional coordinates):
S (0.5253, 0.7997, 0.0506)
S (0.4747, 0.2003, 0.9494)
Cd (0.3156, 0.9802, 0.6312)
Cs (0.1269, 0.5576, 0.2539)
S (0.8224, 0.7936, 0.6447)
Cs (0.8731, 0.4424, 0.7461)
Cd (0.6844, 0.0198, 0.3688)
Ho (0.0000, 0.0000, 0.0000)
S (0.1776, 0.2064, 0.3553)

Magnetization in μB per cell: 0.0
Space group: C2/m, No. 12
DOS(E_F) in states/eV per cell: 2.69
E_form (uncorrected) in meV/atom: -1138.2

---

No. 7
A plane-wave DFT calculation with PBE was carried out for an optimized crystal structure of Re2TeSe.

Cell lengths 4.1206, 5.2010, 4.1216 Å; angles 70.78, 80.26, 109.21 degrees
Atoms (fractional coordinates):
Re (0.0000, 0.0000, 0.0000)
Te (0.5000, 0.5000, 0.0000)
Re (0.5000, 0.0000, 0.5000)
Se (0.0000, 0.5000, 0.5000)

Magnetization in μB per cell: 0.0
Space group: Fmmm, No. 69
DOS(E_F) in states/eV per cell: 3.11
E_form (uncorrected) in meV/atom: 1020.4
ΔE to the lowest computed polymorph in meV/atom: 796

---

No. 8
A plane-wave DFT calculation with PBE was carried out for an optimized crystal structure of CaZnHg4.

Cell lengths 6.0455, 6.0455, 6.0455 Å; angles 60.00, 60.00, 60.00 degrees
Atoms (fractional coordinates):
Zn (0.7500, 0.7500, 0.7500)
Hg (0.3753, 0.3753, 0.3753)
Ca (0.0000, 0.0000, 0.0000)
Hg (0.3753, 0.3753, 0.8742)
Hg (0.8742, 0.3753, 0.3753)
Hg (0.3753, 0.8742, 0.3753)

ΔE_f in eV/atom: -0.04
Magnetization in μB per cell: 0.0
Space group: F-43m, No. 216
DOS(E_F) in states/eV per cell: 3.44
ΔE to the lowest computed polymorph in meV/atom: 162